An optimized crystal structure of YScN, computed with PBE.

Cell and atoms, written as extended XYZ:
```
3
Lattice="3.378 0.000 0.000 -1.689 2.926 0.000 0.000 0.000 5.713" Properties=species:S:1:pos:R:3 pbc="T T T"
Y 0.000 0.000 0.000
Sc 0.000 1.950 3.154
N 1.689 0.975 4.271
```

Properties
Formation energy from raw total energies   -319 kJ/mol of formula units
E above lowest polymorph   0.0 meV/atom
SG   P3m1 (156)

***

An optimized crystal structure of YSc3N, computed with PBE.

Cell and atoms, written as extended XYZ:
```
5
Lattice="4.649 0.000 0.000 0.000 4.649 0.000 0.000 0.000 4.649" Properties=species:S:1:pos:R:3 pbc="T T T"
Y 0.000 0.000 0.000
Sc 0.000 2.325 2.325
Sc 2.325 0.000 2.325
Sc 2.325 2.325 0.000
N 2.325 2.325 2.325
```

Properties
Formation energy from raw total energies   -254 kJ/mol of formula units
E above lowest polymorph   0.0 meV/atom
SG   Pm-3m (221)

***

An optimized crystal structure of YScN2, computed with PBE.

Cell and atoms, written as extended XYZ:
```
4
Lattice="0.000 2.907 2.907 2.907 0.000 2.907 2.907 2.907 0.000" Properties=species:S:1:pos:R:3 pbc="T T T"
Y 0.000 0.000 0.000
Sc 2.907 2.907 2.907
N 1.453 1.453 1.453
N 4.360 4.360 4.360
```

Properties
Formation energy from raw total energies   -305 kJ/mol of formula units
SG   Fm-3m (225)

***

An optimized crystal structure of YSc3N, computed with PBE.

Cell and atoms, written as extended XYZ:
```
5
Lattice="5.106 0.000 0.000 0.000 5.106 0.000 0.000 0.000 5.106" Properties=species:S:1:pos:R:3 pbc="T T T"
Y 0.000 0.000 0.000
Sc 0.000 0.000 2.553
Sc 0.000 2.553 0.000
Sc 2.553 0.000 0.000
N 2.553 2.553 2.553
```

Properties
Formation energy from raw total energies   984 kJ/mol of formula units
E above lowest polymorph   2564.6 meV/atom
SG   Pm-3m (221)